Run i
First-principles (PBE-GGA) data for a relaxed structure of ScNi2H3, as listed in Alexandria.

Magnetization (μB/f.u.): 0.0

a b c (Å): 6.542 6.542 4.780
angles (deg): 104.37 104.37 31.21
Atoms (fractional coordinates):
Sc 0.118 0.118 0.289
Sc 0.882 0.882 0.711
Ni 0.220 0.220 0.836
Ni 0.435 0.435 0.219
Ni 0.565 0.565 0.781
Ni 0.780 0.780 0.164
H 0.075 0.075 0.799
H 0.289 0.289 0.230
H 0.441 0.441 0.589
H 0.559 0.559 0.411
H 0.711 0.711 0.770
H 0.925 0.925 0.201



Run ii
First-principles (PBE-GGA) data for a relaxed structure of ScNi2H3, as listed in Alexandria.

Magnetization (μB/f.u.): 0.0

a b c (Å): 4.814 4.814 4.770
angles (deg): 90.00 90.00 94.82
Atoms (fractional coordinates):
Sc 0.191 0.809 0.750
Sc 0.809 0.191 0.250
Ni 0.309 0.309 0.000
Ni 0.309 0.309 0.500
Ni 0.691 0.691 0.000
Ni 0.691 0.691 0.500
H 0.074 0.267 0.750
H 0.267 0.074 0.250
H 0.430 0.570 0.250
H 0.570 0.430 0.750
H 0.733 0.926 0.750
H 0.926 0.733 0.250



Question: which arrangement is favored energetically? Ranking from most to least stable: run ii, run i.



Run i
First-principles (PBE-GGA) data for a relaxed structure of ScNi2H8, as listed in Alexandria.

Magnetization (μB/f.u.): 0.0

a b c (Å): 4.067 4.067 4.433
angles (deg): 90.00 90.00 90.00
Atoms (fractional coordinates):
Sc 0.000 0.000 0.000
Ni 0.000 0.500 0.500
Ni 0.500 0.000 0.500
H 0.276 0.276 0.298
H 0.276 0.276 0.702
H 0.276 0.724 0.298
H 0.276 0.724 0.702
H 0.724 0.276 0.298
H 0.724 0.276 0.702
H 0.724 0.724 0.298
H 0.724 0.724 0.702



Run ii
First-principles (PBE-GGA) data for a relaxed structure of ScNi2H8, as listed in Alexandria.

Magnetization (μB/f.u.): 0.0

a b c (Å): 5.107 5.107 3.345
angles (deg): 109.11 109.11 82.21
Atoms (fractional coordinates):
Sc 0.000 0.000 0.000
Ni 0.315 0.685 0.500
Ni 0.685 0.315 0.500
H 0.006 0.296 0.652
H 0.296 0.006 0.652
H 0.313 0.687 0.000
H 0.344 0.344 0.342
H 0.656 0.656 0.658
H 0.687 0.313 0.000
H 0.704 0.994 0.348
H 0.994 0.704 0.348



Question: which arrangement is favored energetically? Ranking from most to least stable: run ii, run i.



Run i
First-principles (PBE-GGA) data for a relaxed structure of ScNi2H, as listed in Alexandria.

Magnetization (μB/f.u.): 0.0

a b c (Å): 4.082 4.082 4.082
angles (deg): 60.00 60.00 60.00
Atoms (fractional coordinates):
Sc 0.000 0.000 0.000
Ni 0.250 0.250 0.250
Ni 0.750 0.750 0.750
H 0.500 0.500 0.500



Run ii
First-principles (PBE-GGA) data for a relaxed structure of ScNi2H, as listed in Alexandria.

Magnetization (μB/f.u.): 0.0

a b c (Å): 7.105 7.105 7.105
angles (deg): 22.53 22.53 22.53
Atoms (fractional coordinates):
Sc 0.000 0.000 0.000
Ni 0.119 0.119 0.119
Ni 0.881 0.881 0.881
H 0.500 0.500 0.500



Question: which arrangement is favored energetically? Ranking from most to least stable: run ii, run i.



Run i
First-principles (PBE-GGA) data for a relaxed structure of Sc2NiH2, as listed in Alexandria.

Magnetization (μB/f.u.): 0.0

a b c (Å): 6.249 6.249 2.968
angles (deg): 90.00 90.00 90.00
Atoms (fractional coordinates):
Sc 0.185 0.315 0.000
Sc 0.315 0.815 0.000
Sc 0.685 0.185 0.000
Sc 0.815 0.685 0.000
Ni 0.000 0.000 0.500
Ni 0.500 0.500 0.500
H 0.125 0.625 0.500
H 0.375 0.125 0.500
H 0.625 0.875 0.500
H 0.875 0.375 0.500



Run ii
First-principles (PBE-GGA) data for a relaxed structure of Sc2NiH2, as listed in Alexandria.

Magnetization (μB/f.u.): 0.0

a b c (Å): 6.127 6.127 6.127
angles (deg): 149.46 149.46 43.74
Atoms (fractional coordinates):
Sc 0.140 0.140 0.000
Sc 0.860 0.860 0.000
Ni 0.500 0.500 0.000
H 0.250 0.750 0.500
H 0.750 0.250 0.500



Question: which arrangement is favored energetically? Ranking from most to least stable: run ii, run i.



Run i
First-principles (PBE-GGA) data for a relaxed structure of ScZnNi2H, as listed in Alexandria.

Magnetization (μB/f.u.): 0.0

a b c (Å): 5.647 5.647 7.145
angles (deg): 90.00 90.00 148.03
Atoms (fractional coordinates):
Sc 0.022 0.978 0.750
Sc 0.978 0.022 0.250
Zn 0.253 0.747 0.250
Zn 0.747 0.253 0.750
Ni 0.356 0.644 0.549
Ni 0.356 0.644 0.951
Ni 0.644 0.356 0.049
Ni 0.644 0.356 0.451
H 0.500 0.500 0.000
H 0.500 0.500 0.500



Run ii
First-principles (PBE-GGA) data for a relaxed structure of ScZnNi2H, as listed in Alexandria.

Magnetization (μB/f.u.): 0.0

a b c (Å): 3.830 3.830 3.983
angles (deg): 90.00 90.00 90.00
Atoms (fractional coordinates):
Sc 0.000 0.000 0.000
Zn 0.500 0.500 0.000
Ni 0.000 0.500 0.500
Ni 0.500 0.000 0.500
H 0.000 0.000 0.500



Question: which arrangement is favored energetically? Ranking from most to least stable: run i, run ii.



Run i
First-principles (PBE-GGA) data for a relaxed structure of NiH2Se, as listed in Alexandria.

Magnetization (μB/f.u.): 0.0

a b c (Å): 6.690 6.690 6.690
angles (deg): 149.47 149.47 43.72
Atoms (fractional coordinates):
Ni 0.000 0.000 0.000
Ni 0.750 0.250 0.500
H 0.375 0.148 0.273
H 0.852 0.125 0.227
H 0.875 0.102 0.727
H 0.898 0.625 0.773
Se 0.250 0.750 0.500
Se 0.500 0.500 0.000



Run ii
First-principles (PBE-GGA) data for a relaxed structure of NiH2Se, as listed in Alexandria.

Magnetization (μB/f.u.): 0.0

a b c (Å): 3.861 6.619 3.862
angles (deg): 90.00 119.89 90.00
Atoms (fractional coordinates):
Ni 0.000 0.000 0.000
H 0.049 0.500 0.934
H 0.953 0.500 0.062
Se 0.333 0.000 0.666



Question: which arrangement is favored energetically? Ranking from most to least stable: run ii, run i.